#P
Compound: BaRe3C
Source: the Alexandria database
Functional: PBE
Structure: relaxed

Cell: 5.0524 5.0524 5.0524 Å, 90.00 90.00 90.00°
Space group Pm-3m (No. 221)
Unique sites:
Ba (0.0000, 0.0000, 0.0000) x1
Re (0.0000, 0.0000, 0.5000) x3
C (0.5000, 0.5000, 0.5000) x1

#Q
Compound: BaRe3C
Source: the Alexandria database
Functional: PBE
Structure: relaxed

Cell: 4.3653 4.3653 4.3653 Å, 90.00 90.00 90.00°
Space group Pm-3m (No. 221)
Unique sites:
Ba (0.0000, 0.0000, 0.0000) x1
Re (0.0000, 0.5000, 0.5000) x3
C (0.5000, 0.5000, 0.5000) x1

Energy comparison, zero being the most stable, in eV/atom: #P 4.002; #Q 0.000.